No. 1
The following is a DFT calculation (PBE) of a relaxed AlAuSe2 crystal.

POSCAR file:
```
AlAuSe2
1.0
-3.432 -0.400 -1.644
1.058 -4.606 -1.089
-1.304 -3.114 3.479
Se Au Al
2 1 1
Direct
0.000 0.022 0.022
0.000 0.478 0.478
0.500 0.750 0.750
0.500 0.250 0.250
```


No. 2
The following is a DFT calculation (PBE) of a relaxed Al2AuSe crystal.

POSCAR file:
```
Al2AuSe
1.0
-4.223 -0.679 -3.976
-2.215 -2.701 -4.680
-3.297 -3.619 0.994
Au Al Se
1 2 1
Direct
0.476 0.476 0.531
0.742 0.742 0.738
0.003 0.003 0.011
0.280 0.280 0.220
```


No. 3
The following is a DFT calculation (PBE) of a relaxed Al4AuSe crystal.

POSCAR file:
```
Al4AuSe
1.0
0.000 3.818 3.818
3.818 0.000 3.818
3.818 3.818 0.000
Al Se Au
4 1 1
Direct
0.376 0.376 0.376
0.873 0.376 0.376
0.376 0.873 0.376
0.376 0.376 0.873
0.000 0.000 0.000
0.750 0.750 0.750
```


No. 4
The following is a DFT calculation (PBE) of a relaxed Al2AuSe crystal.

POSCAR file:
```
Al2AuSe
1.0
7.232 -0.004 -0.002
6.374 3.418 -0.002
6.374 1.599 3.021
Se Al Au
1 2 1
Direct
0.750 0.750 0.750
0.501 0.501 0.501
0.999 0.999 0.999
0.250 0.250 0.250
```


No. 5
The following is a DFT calculation (PBE) of a relaxed Al2Au2Se crystal.

POSCAR file:
```
Al2Au2Se
1.0
-7.902 -1.549 0.521
0.245 -3.665 -7.185
0.570 -2.478 1.283
Au Al Se
4 4 2
Direct
0.878 0.378 0.500
0.622 0.878 0.500
0.122 0.622 0.500
0.378 0.122 0.500
0.817 0.683 0.000
0.683 0.183 0.000
0.317 0.817 0.000
0.183 0.317 0.000
0.500 0.500 0.000
0.000 0.000 0.000
```


No. 6
The following is a DFT calculation (PBE) of a relaxed AlAuSe2 crystal.

POSCAR file:
```
AlAuSe2
1.0
-1.318 -1.163 2.522
-1.895 -0.474 -2.374
4.128 -8.250 -1.648
Se Au Al
2 1 1
Direct
0.000 0.000 0.956
0.500 0.500 0.324
0.500 0.500 0.706
0.000 0.000 0.514
```


No. 7
The following is a DFT calculation (PBE) of a relaxed AlAu3Se crystal.

POSCAR file:
```
AlAu3Se
1.0
4.860 0.000 0.000
0.000 4.860 0.000
0.000 0.000 4.860
Au Se Al
3 1 1
Direct
0.000 0.000 0.500
0.500 0.000 0.000
0.000 0.500 0.000
0.500 0.500 0.500
0.000 0.000 0.000
```


No. 8
The following is a DFT calculation (PBE) of a relaxed AlAuSe2 crystal.

POSCAR file:
```
AlAuSe2
1.0
6.653 0.017 0.027
3.511 5.710 0.016
0.110 3.623 5.372
Al Au Se
2 2 4
Direct
0.188 0.223 0.553
0.891 0.501 0.822
0.148 0.771 0.279
0.664 0.239 0.312
0.949 0.106 0.824
0.276 0.427 0.733
0.523 0.929 0.456
0.815 0.538 0.172
```


No. 9
The following is a DFT calculation (PBE) of a relaxed AlAuSe2 crystal.

POSCAR file:
```
AlAuSe2
1.0
-0.310 -18.251 -2.563
5.131 -3.794 -5.077
5.337 3.629 4.984
Al Se Au
8 16 8
Direct
0.343 0.159 0.621
0.843 0.879 0.341
0.149 0.119 0.151
0.657 0.841 0.379
0.851 0.881 0.849
0.157 0.121 0.659
0.649 0.349 0.381
0.351 0.651 0.619
0.750 0.721 0.221
0.447 0.292 0.662
0.947 0.838 0.208
0.953 0.749 0.700
0.453 0.800 0.751
0.250 0.758 0.258
0.750 0.242 0.742
0.259 0.240 0.267
0.241 0.767 0.740
0.047 0.251 0.300
0.759 0.233 0.260
0.553 0.708 0.338
0.250 0.279 0.779
0.741 0.760 0.733
0.547 0.200 0.249
0.053 0.162 0.792
0.406 0.484 0.269
0.094 0.769 0.984
0.400 0.740 0.033
0.900 0.467 0.760
0.600 0.260 0.967
0.906 0.231 0.016
0.594 0.516 0.731
0.100 0.533 0.240
```


No. 10
The following is a DFT calculation (PBE) of a relaxed AlAuSe2 crystal.

POSCAR file:
```
AlAuSe2
1.0
7.086 0.023 0.014
5.956 3.838 0.014
5.956 1.763 3.409
Se Au Al
2 1 1
Direct
0.031 0.031 0.031
0.221 0.221 0.221
0.754 0.754 0.754
0.494 0.494 0.494
```


No. 11
The following is a DFT calculation (PBE) of a relaxed AlAuSe2 crystal.

POSCAR file:
```
AlAuSe2
1.0
3.692 0.000 0.000
0.000 3.692 0.000
0.000 0.000 6.566
Se Au Al
2 1 1
Direct
0.000 0.000 0.828
0.500 0.500 0.342
0.500 0.500 0.882
0.000 0.000 0.448
```


No. 12
The following is a DFT calculation (PBE) of a relaxed AlAuSe2 crystal.

POSCAR file:
```
AlAuSe2
1.0
6.168 0.000 -1.370
2.712 6.139 -3.450
-2.712 6.139 3.450
Se Au Al
4 2 2
Direct
0.710 0.364 0.324
0.290 0.636 0.676
0.210 0.176 0.136
0.790 0.824 0.864
0.250 0.789 0.289
0.750 0.211 0.711
0.250 0.007 0.507
0.750 0.993 0.493
```


No. 13
The following is a DFT calculation (PBE) of a relaxed AlAuSe2 crystal.

POSCAR file:
```
AlAuSe2
1.0
-4.253 2.422 -4.338
-3.805 -3.381 -4.105
1.935 1.096 6.150
Se Al Au
2 1 1
Direct
0.947 0.947 0.000
0.667 0.167 0.500
0.529 0.529 0.000
0.357 0.857 0.500
```


No. 14
The following is a DFT calculation (PBE) of a relaxed AlAuSe2 crystal.

POSCAR file:
```
AlAuSe2
1.0
-1.303 -4.901 -2.928
0.504 -5.755 -0.962
-5.330 -4.706 2.857
Au Se Al
1 2 1
Direct
0.209 0.209 0.282
0.959 0.959 0.128
0.840 0.840 0.692
0.493 0.493 0.398
```


No. 15
The following is a DFT calculation (PBE) of a relaxed Al2AuSe crystal.

POSCAR file:
```
Al2AuSe
1.0
3.694 0.000 0.000
0.000 6.252 0.000
0.000 0.000 3.661
Al Au Se
2 1 1
Direct
0.500 0.500 0.000
0.000 0.000 0.000
0.500 0.000 0.500
0.000 0.500 0.500
```


No. 16
The following is a DFT calculation (PBE) of a relaxed Al2AuSe crystal.

POSCAR file:
```
Al2AuSe
1.0
5.745 0.080 0.176
-2.375 4.144 -0.063
0.995 1.447 3.189
Se Al Au
1 2 1
Direct
0.500 0.500 0.000
0.500 0.000 0.500
0.000 0.000 0.000
0.000 0.500 0.500
```


No. 17
The following is a DFT calculation (PBE) of a relaxed Al2AuSe crystal.

POSCAR file:
```
Al2AuSe
1.0
-1.389 2.236 -2.010
-2.586 0.241 2.056
3.045 4.827 3.265
Al Au Se
2 1 1
Direct
0.000 0.000 0.003
0.000 0.000 0.497
0.500 0.500 0.250
0.500 0.500 0.750
```


No. 18
The following is a DFT calculation (PBE) of a relaxed AlAuSe2 crystal.

POSCAR file:
```
AlAuSe2
1.0
18.573 0.000 3.631
0.000 3.905 0.000
-5.614 0.000 4.580
Se Al Au
8 4 4
Direct
0.615 0.860 0.341
0.148 0.983 0.468
0.385 0.140 0.659
0.885 0.360 0.159
0.852 0.017 0.532
0.648 0.517 0.968
0.115 0.640 0.841
0.352 0.483 0.032
0.708 0.337 0.376
0.292 0.663 0.624
0.208 0.163 0.876
0.792 0.837 0.124
0.153 0.389 0.209
0.847 0.611 0.791
0.653 0.111 0.709
0.347 0.889 0.291
```


No. 19
The following is a DFT calculation (PBE) of a relaxed AlAuSe4 crystal.

POSCAR file:
```
AlAuSe4
1.0
0.000 4.060 4.060
4.060 0.000 4.060
4.060 4.060 0.000
Se Al Au
4 1 1
Direct
0.374 0.374 0.877
0.877 0.374 0.374
0.374 0.877 0.374
0.374 0.374 0.374
0.750 0.750 0.750
0.000 0.000 0.000
```


No. 20
The following is a DFT calculation (PBE) of a relaxed AlAuSe2 crystal.

POSCAR file:
```
AlAuSe2
1.0
3.992 0.000 -0.005
-0.004 6.747 -0.029
-1.841 0.099 8.036
Au Al Se
2 2 4
Direct
0.070 0.236 0.966
0.269 0.188 0.398
0.803 0.859 0.010
0.961 0.565 0.353
0.538 0.496 0.524
0.727 0.497 0.060
0.839 0.926 0.304
0.221 0.928 0.840
```


Number 1: E_tot -3.58 eV/atom, formation energy (no corrections) -0.085 eV/atom, magnetic moment 0.0000 μB/atom. Number 2: E_tot -3.61 eV/atom, formation energy (no corrections) -0.044 eV/atom, magnetic moment 0.0000 μB/atom. Number 3: E_tot -3.41 eV/atom, formation energy (no corrections) 0.210 eV/atom, magnetic moment 0.0000 μB/atom. Number 4: E_tot -3.96 eV/atom, formation energy (no corrections) -0.403 eV/atom, magnetic moment 0.0000 μB/atom. Number 5: E_tot -3.68 eV/atom, formation energy (no corrections) -0.174 eV/atom, magnetic moment 0.0000 μB/atom. Number 6: E_tot -3.44 eV/atom, formation energy (no corrections) 0.056 eV/atom, magnetic moment 0.0000 μB/atom. Number 7: E_tot -2.90 eV/atom, formation energy (no corrections) 0.507 eV/atom, magnetic moment 0.0000 μB/atom. Number 8: E_tot -4.02 eV/atom, formation energy (no corrections) -0.526 eV/atom, magnetic moment 0.0000 μB/atom. Number 9: E_tot -3.97 eV/atom, formation energy (no corrections) -0.474 eV/atom, magnetic moment 0.0000 μB/atom. Number 10: E_tot -3.73 eV/atom, formation energy (no corrections) -0.231 eV/atom, magnetic moment 0.0000 μB/atom. Number 11: E_tot -3.76 eV/atom, formation energy (no corrections) -0.263 eV/atom, magnetic moment 0.0000 μB/atom. Number 12: E_tot -3.91 eV/atom, formation energy (no corrections) -0.408 eV/atom, magnetic moment 0.0000 μB/atom. Number 13: E_tot -3.58 eV/atom, formation energy (no corrections) -0.086 eV/atom, magnetic moment 0.0000 μB/atom. Number 14: E_tot -3.70 eV/atom, formation energy (no corrections) -0.207 eV/atom, magnetic moment 0.0000 μB/atom. Number 15: E_tot -3.64 eV/atom, formation energy (no corrections) -0.077 eV/atom, magnetic moment 0.0000 μB/atom. Number 16: E_tot -3.65 eV/atom, formation energy (no corrections) -0.091 eV/atom, magnetic moment 0.0000 μB/atom. Number 17: E_tot -3.67 eV/atom, formation energy (no corrections) -0.109 eV/atom, magnetic moment 0.0000 μB/atom. Number 18: E_tot -3.95 eV/atom, formation energy (no corrections) -0.453 eV/atom, magnetic moment 0.0000 μB/atom. Number 19: E_tot -2.89 eV/atom, formation energy (no corrections) 0.602 eV/atom, magnetic moment 0.0000 μB/atom. Number 20: E_tot -4.02 eV/atom, formation energy (no corrections) -0.522 eV/atom, magnetic moment 0.0000 μB/atom.